A plane-wave DFT calculation with GGA+U was carried out for Sr3Ti2MoO9 after structural relaxation.

Cell lengths 5.6194, 5.6194, 6.9642 Å; angles 90.00, 90.00, 120.00 degrees
Positions (direct):
Sr 0.0000 0.0000 0.0000
Sr 0.3333 0.6667 0.6746
Sr 0.6667 0.3333 0.3254
Ti 0.3333 0.6667 0.1634
Ti 0.6667 0.3333 0.8366
Mo 0.0000 0.0000 0.5000
O 0.0000 0.5000 0.0000
O 0.1688 0.3376 0.3260
O 0.1688 0.8312 0.3260
O 0.3376 0.1688 0.6740
O 0.5000 0.0000 0.0000
O 0.5000 0.5000 0.0000
O 0.6624 0.8312 0.3260
O 0.8312 0.1688 0.6740
O 0.8312 0.6624 0.6740

Summary:
**Symmetry**: P-3m1
**E_tot**: -7.68 eV per atom